DFT (GGA-PBE) results for a relaxed Cr2Ni2Cl crystal.

a b c (Å): 3.310 3.310 7.590
angles (deg): 77.41 77.41 90.00
Site moments in Bohr magnetons follow the coordinates.
Sites, in units of the cell vectors:
1 Cr 0.620 0.620 0.761  3.48
2 Ni 0.750 0.250 0.500  -0.13
3 Cl 0.000 0.000 0.000  0.00
4 Cr 0.380 0.380 0.239  3.48
5 Ni 0.250 0.750 0.500  -0.13

The calculation puts the calculated total energy at -6.104 eV per atom. The space group is I4/mmm (139). The calculation puts the theoretical density at 5.39 g cm⁻³. The calculation puts the density of states at the Fermi level at 8.3 states/eV/f.u. The uncorrected formation energy is 427 meV/atom.